Entry from Alexandria via LeMat-Bulk: crystalline MgAg2Pt at its relaxed geometry (GGA-PBE).

Calculated values
Formation energy from the elements, kJ/mol of atoms: -13.8
Total moment, μB per cell: 0.0
Energy, eV per atom: -3.48

abc: 3.4680 3.4680 5.7967
angles: 90.00 90.00 90.00
Closest atoms and distances in Å follow each position.
Fractional positions:
Ag (0.0000, 0.0000, 0.9983)  4 Pt 2.84, 4 Mg 2.85, 2 Ag 2.88-2.92
Ag (0.0000, 0.0000, 0.5017)  4 Pt 2.84, 4 Mg 2.85, 2 Ag 2.88-2.92
Mg (0.5000, 0.5000, 0.2500)  8 Ag 2.85, 2 Pt 2.90
Pt (0.5000, 0.5000, 0.7500)  8 Ag 2.84, 2 Mg 2.90


Entry from Alexandria via LeMat-Bulk: crystalline MgAg2Pt at its relaxed geometry (GGA-PBE).

Calculated values
Formation energy from the elements, kJ/mol of atoms: -22.7
Total moment, μB per cell: 0.0
Energy, eV per atom: -3.57

abc: 4.9163 2.9140 4.8432
angles: 87.44 90.00 90.00
Closest atoms and distances in Å follow each position.
Fractional positions:
Ag (0.0000, 0.9971, 0.9989)  6 Ag 2.77-2.91, 2 Pt 2.84, 2 Mg 2.85
Ag (0.0000, 0.5029, 0.5011)  6 Ag 2.77-2.91, 2 Pt 2.84, 2 Mg 2.85
Mg (0.5000, 0.2500, 0.2500)  4 Pt 2.77-2.88, 4 Ag 2.85, 2 Mg 2.91
Pt (0.5000, 0.7500, 0.7500)  4 Mg 2.77-2.88, 4 Ag 2.84, 2 Pt 2.91


Entry from Alexandria via LeMat-Bulk: crystalline Mg5Ag4Pt at its relaxed geometry (GGA-PBE).

Calculated values
Formation energy from the elements, kJ/mol of atoms: -35.6
Total moment, μB per cell: 0.0
Energy, eV per atom: -2.91

abc: 3.3028 3.3028 16.4934
angles: 90.00 90.00 90.00
Closest atoms and distances in Å follow each position.
Fractional positions:
Mg (0.5000, 0.5000, 0.0896)  4 Pt 2.76, 4 Ag 2.90, 1 Mg 2.95
Mg (0.5000, 0.5000, 0.2963)  8 Ag 2.88
Mg (0.5000, 0.5000, 0.5000)  8 Ag 2.87
Mg (0.5000, 0.5000, 0.7037)  8 Ag 2.88
Mg (0.5000, 0.5000, 0.9104)  4 Pt 2.76, 4 Ag 2.90, 1 Mg 2.95
Ag (0.0000, 0.0000, 0.1938)  8 Mg 2.88-2.90, 1 Pt 3.20
Ag (0.0000, 0.0000, 0.3984)  8 Mg 2.87-2.88
Ag (0.0000, 0.0000, 0.6016)  8 Mg 2.87-2.88
Ag (0.0000, 0.0000, 0.8062)  8 Mg 2.88-2.90, 1 Pt 3.20
Pt (0.0000, 0.0000, 0.0000)  8 Mg 2.76


Entry from Alexandria via LeMat-Bulk: crystalline Mg2AgPt at its relaxed geometry (GGA-PBE).

Calculated values
Formation energy from the elements, kJ/mol of atoms: -21.8
Excess energy over the best structure of this formula in the dataset, meV per atom: 353
Total moment, μB per cell: 0.0
Energy, eV per atom: -3.25

abc: 7.2557 7.2557 5.8794
angles: 51.90 51.90 90.00
Closest atoms and distances in Å follow each position.
Fractional positions:
Mg (0.6398, 0.1250, 0.2500)  2 Pt 2.59, 2 Ag 2.74, 2 Mg 2.88
Mg (0.1102, 0.6250, 0.2500)  2 Pt 2.59, 2 Ag 2.74, 2 Mg 2.88
Mg (0.3750, 0.3602, 0.7500)  2 Pt 2.59, 2 Ag 2.74, 2 Mg 2.88
Mg (0.8750, 0.8898, 0.7500)  2 Pt 2.59, 2 Ag 2.74, 2 Mg 2.88
Ag (0.5000, 0.5000, 0.0000)  4 Mg 2.74, 2 Pt 2.87
Ag (0.2500, 0.7500, 0.5000)  4 Mg 2.74, 2 Pt 2.87
Pt (0.0000, 0.0000, 0.0000)  4 Mg 2.59, 2 Ag 2.87
Pt (0.7500, 0.2500, 0.5000)  4 Mg 2.59, 2 Ag 2.87


Entry from Alexandria via LeMat-Bulk: crystalline MgAg2Pt at its relaxed geometry (GGA-PBE).

Calculated values
Formation energy from the elements, kJ/mol of atoms: -33.3
Total moment, μB per cell: 0.0
Energy, eV per atom: -3.68

abc: 4.0066 4.0110 4.1969
angles: 90.00 90.00 90.00
Closest atoms and distances in Å follow each position.
Fractional positions:
Mg (0.5000, 0.0000, 0.5000)  4 Pt 2.83, 8 Ag 2.90
Ag (0.0000, 0.0000, 0.0000)  4 Ag 2.83, 4 Mg 2.90, 4 Pt 2.90
Ag (0.5000, 0.5000, 0.0000)  4 Ag 2.83, 4 Pt 2.90, 4 Mg 2.90
Pt (0.0000, 0.5000, 0.5000)  4 Mg 2.83, 8 Ag 2.90


Entry from Alexandria via LeMat-Bulk: crystalline Mg7AgPt4 at its relaxed geometry (GGA-PBE).

Calculated values
Formation energy from the elements, kJ/mol of atoms: -49.7
Total moment, μB per cell: 0.0
Energy, eV per atom: -3.70

abc: 4.7946 7.8196 6.8933
angles: 77.34 69.65 72.15
Closest atoms and distances in Å follow each position.
Fractional positions:
Mg (0.7826, 0.8718, 0.5629)  4 Pt 2.72-2.89, 1 Mg 2.96
Mg (0.2174, 0.1282, 0.4371)  4 Pt 2.72-2.89, 1 Mg 2.96
Mg (0.0687, 0.6445, 0.2181)  3 Pt 2.61-2.78, 1 Ag 2.84
Mg (0.9313, 0.3555, 0.7819)  3 Pt 2.61-2.78, 1 Ag 2.84
Mg (0.3166, 0.6287, 0.7380)  4 Pt 2.61-2.78
Mg (0.5000, 0.0000, 0.0000)  2 Ag 2.40, 4 Pt 2.62-2.63
Mg (0.6834, 0.3713, 0.2620)  4 Pt 2.61-2.78
Ag (0.0000, 0.0000, 0.0000)  2 Mg 2.40
Pt (0.5652, 0.2206, 0.6491)  7 Mg 2.61-2.89, 1 Pt 2.85
Pt (0.4348, 0.7794, 0.3509)  7 Mg 2.61-2.89, 1 Pt 2.85
Pt (0.6965, 0.6564, 0.9507)  6 Mg 2.61-2.80, 1 Pt 2.85
Pt (0.3035, 0.3436, 0.0493)  6 Mg 2.61-2.80, 1 Pt 2.85